CoMoW2 | PBE-GGA | relaxed

Cell: 3.198 4.307 4.339 Å, 90.00 90.00 90.00°
Space group Pmmm (No. 47)
One atom of each set of equivalent atoms:
Co1 0.000 0.000 0.000 [1 per cell]
Mo1 0.500 0.000 0.500 [1 per cell]
W1 0.000 0.500 0.500 [1 per cell]
W2 0.500 0.500 0.000 [1 per cell]

Properties
The calculation puts the energy above the most stable polymorph in this dataset at 112 meV/atom. As for the formation energy from the elements: 0.1880 eV per atom.